Entry from the Alexandria database: a relaxed Ca2PrSe4 crystal (PBE).

Geometry as POSCAR:
```
Ca2PrSe4
1.0
-3.651 1.819 -0.686
-1.183 -5.063 5.347
2.815 9.155 9.291
Se Ca Pr
8 4 2
Direct
0.770 0.541 0.127
0.770 0.541 0.373
0.500 0.000 0.500
0.500 0.000 0.000
0.230 0.459 0.627
0.230 0.459 0.873
0.973 0.947 0.750
0.027 0.053 0.250
0.871 0.741 0.934
0.871 0.741 0.566
0.129 0.259 0.434
0.129 0.259 0.066
0.619 0.238 0.750
0.381 0.762 0.250
```

Results
Space-group type = Cmcm (63)



Entry from the Alexandria database: a relaxed Ca3Pr5Se8 crystal (PBE).

Geometry as POSCAR:
```
Ca3Pr5Se8
1.0
-8.317 -1.420 0.474
-3.042 -7.772 -1.323
-3.157 -4.471 6.535
Se Pr Ca
8 5 3
Direct
0.247 0.247 0.259
0.750 0.243 0.257
0.243 0.750 0.257
0.750 0.750 0.257
0.250 0.250 0.743
0.753 0.753 0.741
0.250 0.757 0.743
0.757 0.250 0.743
0.500 0.500 0.000
0.000 0.000 0.000
0.000 0.500 0.000
0.500 0.500 0.500
0.500 0.000 0.000
0.500 0.000 0.500
0.000 0.000 0.500
0.000 0.500 0.500
```

Results
Space-group type = R-3m (166)



Entry from the Alexandria database: a relaxed Ca5Pr3Se8 crystal (PBE).

Geometry as POSCAR:
```
Ca5Pr3Se8
1.0
-3.204 2.362 7.427
-6.209 -4.475 3.525
1.565 -4.644 6.932
Ca Se Pr
5 8 3
Direct
0.500 0.500 0.500
0.000 0.000 0.000
0.500 0.000 0.000
0.000 0.500 0.000
0.500 0.500 0.000
0.253 0.253 0.241
0.750 0.750 0.245
0.745 0.250 0.755
0.250 0.250 0.755
0.255 0.750 0.245
0.750 0.255 0.245
0.250 0.745 0.755
0.747 0.747 0.759
0.000 0.500 0.500
0.500 0.000 0.500
0.000 0.000 0.500
```

Results
Space-group type = R-3m (166)



Entry from the Alexandria database: a relaxed CaPr8Se12 crystal (PBE).

Geometry as POSCAR:
```
CaPr8Se12
1.0
-7.860 -3.543 2.643
3.611 -2.018 8.013
-5.944 9.242 10.071
Pr Se Ca
16 24 2
Direct
0.417 0.288 0.167
0.622 0.753 0.001
0.208 0.957 0.083
0.920 0.543 0.167
0.294 0.540 0.916
0.753 0.622 0.501
0.620 0.875 0.251
0.084 0.958 0.833
0.251 0.878 0.499
0.957 0.208 0.583
0.540 0.294 0.416
0.878 0.251 0.999
0.958 0.084 0.333
0.288 0.417 0.667
0.543 0.920 0.667
0.875 0.620 0.751
0.567 0.572 0.715
0.901 0.900 0.549
0.117 0.268 0.116
0.279 0.930 0.284
0.268 0.617 0.119
0.928 0.785 0.283
0.215 0.717 0.716
0.953 0.599 0.950
0.879 0.382 0.383
0.601 0.453 0.951
0.453 0.601 0.451
0.237 0.231 0.882
0.930 0.279 0.784
0.617 0.268 0.619
0.231 0.237 0.382
0.572 0.567 0.215
0.268 0.117 0.616
0.599 0.953 0.450
0.052 0.550 0.550
0.382 0.879 0.883
0.900 0.901 0.049
0.550 0.052 0.050
0.717 0.215 0.216
0.785 0.928 0.783
0.583 0.208 0.834
0.208 0.583 0.334
```

Results
Space-group type = Cc (9)



Entry from the Alexandria database: a relaxed CaPr4Se6 crystal (PBE).

Geometry as POSCAR:
```
CaPr4Se6
1.0
-4.703 -6.537 2.333
5.830 -5.165 -3.105
3.872 -0.272 7.432
Pr Se Ca
8 12 2
Direct
0.250 0.638 0.138
0.750 0.362 0.862
0.750 0.750 0.250
0.250 0.250 0.750
0.638 0.862 0.750
0.862 0.250 0.362
0.362 0.138 0.250
0.138 0.750 0.638
0.439 0.819 0.415
0.085 0.319 0.061
0.585 0.439 0.181
0.819 0.585 0.561
0.561 0.181 0.585
0.915 0.681 0.939
0.319 0.939 0.915
0.181 0.415 0.439
0.415 0.561 0.819
0.681 0.061 0.085
0.061 0.915 0.319
0.939 0.085 0.681
0.500 0.500 0.500
0.000 0.000 0.000
```

Results
Space-group type = R-3c (167)



Entry from the Alexandria database: a relaxed CaPr5Se6 crystal (PBE).

Geometry as POSCAR:
```
CaPr5Se6
1.0
-1.631 -6.627 2.780
5.814 -4.453 -0.701
5.037 -0.347 5.379
Se Pr Ca
6 5 1
Direct
0.754 0.408 0.674
0.246 0.592 0.326
0.246 0.243 0.000
0.246 0.918 0.674
0.754 0.082 0.326
0.754 0.757 0.000
0.500 0.169 0.662
0.500 0.500 0.000
0.000 0.667 0.665
0.000 0.333 0.335
0.500 0.831 0.338
0.000 0.000 0.000
```

Results
Space-group type = C2/m (12)



Entry from the Alexandria database: a relaxed Ca4Pr3Se8 crystal (PBE).

Geometry as POSCAR:
```
Ca4Pr3Se8
1.0
-7.739 0.657 3.363
-3.203 -6.392 4.529
-0.641 1.072 8.968
Ca Pr Se
4 3 8
Direct
0.354 0.354 0.937
0.646 0.646 0.063
0.000 0.000 0.000
0.500 0.500 0.500
0.000 0.500 0.500
0.000 0.000 0.500
0.500 0.000 0.500
0.747 0.747 0.261
0.244 0.747 0.261
0.747 0.244 0.261
0.253 0.756 0.739
0.236 0.236 0.292
0.756 0.253 0.739
0.764 0.764 0.708
0.253 0.253 0.739
```

Results
Space-group type = R-3m (166)



Entry from the Alexandria database: a relaxed CaPr2Se3 crystal (PBE).

Geometry as POSCAR:
```
CaPr2Se3
1.0
-0.917 2.609 -3.167
3.300 -3.357 -3.721
-6.377 -3.160 2.033
Se Pr Ca
3 2 1
Direct
0.840 0.340 0.180
0.500 0.000 0.500
0.160 0.660 0.820
0.832 0.832 0.164
0.168 0.168 0.836
0.500 0.500 0.500
```

Results
Space-group type = Immm (71)



Values for E_tot, Ry/atom, ordered as above
-0.3627 -0.4042 -0.3819 -0.4257 -0.4107 -0.4238 -0.3775 -0.4084